Record 1
CsCu2PtCl8 PBE optimized geometry; uncorrected formation energy = -8.708 eV/f.u.; SG = No. 148
1.0
-4.694 -3.444 -2.301
-1.212 -5.648 2.412
-8.358 1.201 6.738
Cu Cs Cl Pt
2 1 8 1
Direct
0.731 0.731 0.808 Cu
0.269 0.269 0.192 Cu
0.500 0.500 0.500 Cs
0.058 0.346 0.863 Cl
0.346 0.732 0.863 Cl
0.268 0.942 0.137 Cl
0.732 0.058 0.863 Cl
0.803 0.803 0.591 Cl
0.197 0.197 0.409 Cl
0.942 0.654 0.137 Cl
0.654 0.268 0.137 Cl
0.000 0.000 0.000 Pt

---

Record 2
Nd8GeSe3S4 PBE optimized geometry; uncorrected formation energy = -29.407 eV/f.u.; SG = No. 166
1.0
8.328 0.000 0.000
0.000 8.335 -0.001
-4.164 -4.160 5.892
S Nd Se Ge
4 8 3 1
Direct
0.500 0.000 0.000 S
0.000 0.000 0.000 S
0.000 0.000 0.500 S
0.500 0.000 0.500 S
0.243 0.228 0.485 Nd
0.238 0.238 0.988 Nd
0.750 0.238 0.988 Nd
0.250 0.762 0.012 Nd
0.762 0.762 0.012 Nd
0.250 0.762 0.499 Nd
0.757 0.772 0.515 Nd
0.750 0.238 0.501 Nd
0.000 0.500 0.500 Se
0.500 0.500 0.000 Se
0.500 0.500 0.500 Se
0.000 0.500 0.000 Ge

---

Record 3
NaLaPm2Hg4 PBE optimized geometry; SG = No. 166
1.0
-4.602 -2.233 1.523
-0.958 -5.139 -1.078
1.854 -4.783 7.942
Na Pm La Hg
1 2 1 4
Direct
0.500 0.500 0.500 Na
0.245 0.245 0.266 Pm
0.755 0.755 0.734 Pm
0.000 0.000 0.000 La
0.126 0.126 0.623 Hg
0.874 0.874 0.377 Hg
0.622 0.622 0.133 Hg
0.378 0.378 0.867 Hg

---

In the order shown, the computed uncorrected energy values come out to -3.2140; -6.1957; -2.5418 eV/atom.
In the order shown, the computed M_tot values come out to 1.15; 0.00; 0.00 μB per formula unit.